Entry 1:
VASP calculation (PBE) on a relaxed structure of InRhSCl2.

**Formation energy from raw total energies**: 0.33 eV per atom
**Excess energy over the best structure of this formula in the dataset**: 636 meV/atom
**Calculated total energy**: -3.253 eV/atom

Geometry as extended XYZ:
```
5
Lattice="5.071 0.000 0.000 0.000 5.071 0.000 0.000 0.000 5.084" Properties=species:S:1:pos:R:3 pbc="T T T"
In 0.000 0.000 0.000
Rh 2.535 2.535 2.542
S 0.000 0.000 2.542
Cl 0.000 2.535 0.000
Cl 2.535 0.000 0.000
```

***

Entry 2:
VASP calculation (PBE) on a relaxed structure of Ti3Co2Re.

**Formation energy from the elements**: -0.416 eV per atom
**Excess energy over the best structure of this formula in the dataset**: 4 meV/atom
**Calculated total energy**: -8.806 eV/atom

Geometry as extended XYZ:
```
6
Lattice="2.127 -6.327 0.000 2.127 6.327 0.000 0.000 0.000 3.087" Properties=species:S:1:pos:R:3 pbc="T T T"
Ti 0.000 0.000 0.000
Ti 2.127 2.145 0.000
Ti 2.127 -2.145 0.000
Co 2.127 4.184 1.544
Co 2.127 -4.184 1.544
Re 2.127 0.000 1.544
```

***

Entry 3:
VASP calculation (PBE) on a relaxed structure of SmTeI2.

**Formation energy from raw total energies**: -1.01 eV per atom
**Calculated total energy**: -3.754 eV/atom

Geometry as extended XYZ:
```
8
Lattice="2.097 -7.776 0.000 2.097 7.776 0.000 0.000 0.000 9.700" Properties=species:S:1:pos:R:3 pbc="T T T"
Sm 2.097 3.956 7.275
Sm 2.097 -3.956 2.425
Te 2.097 1.580 2.425
Te 2.097 -1.580 7.275
I 2.097 5.489 0.565
I 2.097 5.489 4.285
I 2.097 -5.489 5.415
I 2.097 -5.489 9.135
```

***

Entry 4:
VASP calculation (PBE) on a relaxed structure of VZnH.

**Excess energy over the best structure of this formula in the dataset**: 35 meV/atom
**Calculated total energy**: -4.597 eV/atom

Geometry as extended XYZ:
```
6
Lattice="2.786 0.000 0.000 -0.263 4.966 0.000 -1.296 -2.462 4.502" Properties=species:S:1:pos:R:3 pbc="T T T"
V 0.591 1.188 0.125
V 0.635 1.315 4.376
Zn -0.732 2.471 2.334
Zn 1.959 0.032 2.168
H 0.536 2.955 0.675
H 0.690 -0.452 3.827
```